# La2YHoTe6

An optimized crystal structure of La2YHoTe6 (GGA-PBE, Alexandria).

The structure in extended XYZ format:
```
10
Lattice="-7.500 0.701 2.519 -2.229 -3.390 6.828 -1.527 4.975 6.590" Properties=species:S:1:pos:R:3 pbc="T T T"
La -1.615 4.673 6.412
Te -5.312 1.006 4.602
La -5.718 0.837 7.788
Ho -3.187 -0.703 3.229
Te -2.864 2.352 8.253
Te -8.784 -0.071 8.135
Y -8.813 0.443 11.201
Te -6.030 1.698 10.920
Te -6.656 3.943 7.435
Te -4.032 -1.764 8.649
```

Formation energy from raw total energies = -1442 meV per atom
Space-group type = R3
Calculated total energy = -5.417 eV/atom
Total moment = 0.00 μB/cell


# La3Y2HoTe6

An optimized crystal structure of La3Y2HoTe6 (GGA-PBE, Alexandria).

The structure in extended XYZ format:
```
12
Lattice="4.432 0.000 0.000 0.000 9.009 0.241 -2.216 -2.679 9.398" Properties=species:S:1:pos:R:3 pbc="T T T"
Y 2.216 4.220 6.422
La 2.216 4.505 0.121
Te 2.216 -0.044 3.070
Te 0.000 2.069 6.303
Ho 2.216 0.000 0.000
La 2.216 -0.282 6.292
Te 0.000 2.136 0.120
Te 0.000 6.373 6.569
La 0.000 6.611 3.347
Te 2.216 4.193 9.520
Te 2.216 4.261 3.336
Y 0.000 2.109 3.218
```

Formation energy from raw total energies = -1449 meV per atom
Space-group type = C2/m
Calculated total energy = -5.711 eV/atom
Total moment = 0.00 μB/cell